No. 1
Entry from Alexandria via LeMat-Bulk: a relaxed structure of Ce2SbPt2 (GGA-PBE).

The structure belongs to space group P4/mbm (No. 127); the cell edges are 7.717, 7.717 and 3.893 Å and the angles 90.00°, 90.00° and 90.00°. The asymmetric unit holds Ce at (0.176, 0.324, 0.000), Sb at (0.000, 0.000, 0.500) and Pt at (0.128, 0.628, 0.500).

As for the total energy: -6.73 eV/atom. The calculation puts the calculated density at 11.348 g/cm3.

No. 2
Entry from Alexandria via LeMat-Bulk: a relaxed structure of Ce3Sb4Pt2 (GGA-PBE).

The structure belongs to space group C2/m (No. 12); the cell edges are 11.322, 4.721 and 9.431 Å and the angles 90.00°, 114.63° and 90.00°. The asymmetric unit holds Ce at (0.000, 0.000, 0.000), Ce at (0.135, 0.500, 0.687), Sb at (0.101, 0.000, 0.412), Sb at (0.211, 0.500, 0.080) and Pt at (0.159, 0.500, 0.330).

As for the total energy: -5.99 eV/atom. The calculation puts the calculated density at 9.403 g/cm3.

No. 3
Entry from Alexandria via LeMat-Bulk: a relaxed structure of Ce4Sb3Pt (GGA-PBE).

The structure belongs to space group R-3m (No. 166, hexagonal axes); the cell edges are 4.3652, 4.3652 and 44.1306 Å and the angles 90.00°, 90.00° and 120.00°. The asymmetric unit holds Ce at (0.0000, 0.0000, 0.1237), Ce at (0.0000, 0.0000, 0.3689), Sb at (0.0000, 0.0000, 0.2527), Sb at (0.0000, 0.0000, 0.5000) and Pt at (0.0000, 0.0000, 0.0000).

As for the total energy: -6.25 eV/atom. The calculation puts the calculated density at 7.667 g/cm3.

- The lowest calculated density belongs to which entry?
  Ce4Sb3Pt

- calculated density of number 2 (Ce3Sb4Pt2)?
  9.403 g/cm3